Crystalline NdSm2YTm5 at its relaxed geometry. Source: the Alexandria database, functional PBE.

Unit cell a=8.733 b=8.733 c=9.768 alpha=116.55 beta=116.55 gamma=90.00
Fractional positions:
Nd (0.250, 0.250, 0.500)
Nd (0.750, 0.750, 0.500)
Sm (0.115, 0.385, 0.000)
Sm (0.615, 0.115, 0.000)
Sm (0.385, 0.885, 0.000)
Sm (0.885, 0.615, 0.000)
Y (0.250, 0.750, 0.500)
Y (0.750, 0.250, 0.500)
Tm (0.926, 0.426, 0.272)
Tm (0.655, 0.155, 0.728)
Tm (0.074, 0.574, 0.728)
Tm (0.155, 0.074, 0.728)
Tm (0.574, 0.655, 0.728)
Tm (0.845, 0.926, 0.272)
Tm (0.426, 0.345, 0.272)
Tm (0.345, 0.845, 0.272)
Tm (0.500, 0.500, 0.000)
Tm (0.000, 0.000, 0.000)

Values from the calculation:
magnetic moment = 0.00 μB/f.u.
formation energy = 233 kJ/mol of formula units